1.
AlTl3P, relaxed, DFT PBE; SG = Pm-3m, No. 221; formation energy from the elements = 0.58 eV/atom; calculated density = 7.23 g/cm³; final energy = -2.666 eV per atom; relative energy among the computed polymorphs = 0 meV/atom
1.0
-4.100 -2.978 -1.748
-1.195 -1.323 5.056
-3.240 4.257 0.349
Tl Al P
3 1 1
Direct
0.000 0.000 0.500 Tl
0.000 0.500 0.000 Tl
0.500 0.000 0.000 Tl
0.500 0.500 0.500 Al
0.000 0.000 0.000 P

=====

2.
Al2TlP, relaxed, DFT PBE; SG = C2/m, No. 12; formation energy from the elements = 0.39 eV/atom; calculated density = 5.97 g/cm³; final energy = -3.421 eV per atom; relative energy among the computed polymorphs = 449 meV/atom
1.0
-1.126 -0.433 5.862
3.170 -4.230 -2.806
2.729 0.091 1.313
Al P Tl
2 1 1
Direct
0.000 0.000 0.000 Al
0.500 0.500 0.000 Al
0.500 0.000 0.500 P
0.000 0.500 0.500 Tl

=====

3.
AlTlP2, relaxed, DFT PBE; SG = C2/m, No. 12; formation energy from the elements = 0.15 eV/atom; calculated density = 5.54 g/cm³; final energy = -4.084 eV per atom; relative energy among the computed polymorphs = 335 meV/atom
1.0
4.886 0.013 -0.030
3.809 3.061 -0.030
1.147 0.405 5.889
Al Tl P
1 1 2
Direct
0.750 0.750 0.750 Al
0.250 0.250 0.250 Tl
0.463 0.463 0.629 P
0.037 0.037 0.871 P

=====

4.
Al2TlP, relaxed, DFT PBE; SG = F-43m, No. 216; formation energy from the elements = 0.47 eV/atom; calculated density = 5.92 g/cm³; final energy = -3.348 eV per atom; relative energy among the computed polymorphs = 522 meV/atom
1.0
-0.394 -2.940 -3.848
3.516 -0.099 -3.352
2.879 -3.895 -0.386
P Al Tl
1 2 1
Direct
0.500 0.500 0.500 P
0.000 0.000 0.000 Al
0.250 0.250 0.250 Al
0.750 0.750 0.750 Tl